1.
The following is a GGA-PBE calculation of an optimized crystal structure of HfZn4Mo, from the Alexandria database.

The structure in CIF format:
```
data_HfZn4Mo
_space_group_name_H-M_alt 'F -4 3 m'
_space_group_IT_number 216
_space_group_name_Hall 'F -4 2 3'
_cell_length_a 7.137
_cell_length_b 7.137
_cell_length_c 7.137
_cell_angle_alpha 90.00
_cell_angle_beta 90.00
_cell_angle_gamma 90.00
loop_
_atom_site_label
_atom_site_type_symbol
_atom_site_fract_x
_atom_site_fract_y
_atom_site_fract_z
_atom_site_occupancy
Hf1 Hf 0.000 0.000 0.000 1
Zn1 Zn 0.124 0.124 0.624 1
Mo1 Mo 0.250 0.250 0.250 1
```

Summary:
ρ = 9.8 g/cm³


2.
The following is a GGA-PBE calculation of an optimized crystal structure of Hf6Zn5Mo, from the Alexandria database.

The structure in CIF format:
```
data_Hf6Zn5Mo
_space_group_name_H-M_alt 'C m m m'
_space_group_IT_number 65
_space_group_name_Hall '-C 2 2'
_cell_length_a 4.696
_cell_length_b 14.042
_cell_length_c 6.612
_cell_angle_alpha 90.00
_cell_angle_beta 90.00
_cell_angle_gamma 90.00
loop_
_atom_site_label
_atom_site_type_symbol
_atom_site_fract_x
_atom_site_fract_y
_atom_site_fract_z
_atom_site_occupancy
Hf1 Hf 0.000 0.000 0.249 1
Hf2 Hf 0.000 0.335 0.248 1
Zn1 Zn 0.000 0.164 0.000 1
Zn2 Zn 0.000 0.169 0.500 1
Zn3 Zn 0.000 0.500 0.500 1
Mo1 Mo 0.000 0.500 0.000 1
```

Summary:
ρ = 11.4 g/cm³


3.
The following is a GGA-PBE calculation of an optimized crystal structure of HfZnMo2, from the Alexandria database.

The structure in CIF format:
```
data_HfZnMo2
_space_group_name_H-M_alt 'F m -3 m'
_space_group_IT_number 225
_space_group_name_Hall '-F 4 2 3'
_cell_length_a 6.437
_cell_length_b 6.437
_cell_length_c 6.437
_cell_angle_alpha 90.00
_cell_angle_beta 90.00
_cell_angle_gamma 90.00
loop_
_atom_site_label
_atom_site_type_symbol
_atom_site_fract_x
_atom_site_fract_y
_atom_site_fract_z
_atom_site_occupancy
Hf1 Hf 0.000 0.000 0.000 1
Zn1 Zn 0.000 0.000 0.500 1
Mo1 Mo 0.250 0.250 0.250 1
```

Summary:
ρ = 10.9 g/cm³


4.
The following is a GGA-PBE calculation of an optimized crystal structure of Hf2ZnMo2, from the Alexandria database.

The structure in CIF format:
```
data_Hf2ZnMo2
_space_group_name_H-M_alt 'P 4/m b m'
_space_group_IT_number 127
_space_group_name_Hall '-P 4 2ab'
_cell_length_a 6.823
_cell_length_b 6.823
_cell_length_c 4.064
_cell_angle_alpha 90.00
_cell_angle_beta 90.00
_cell_angle_gamma 90.00
loop_
_atom_site_label
_atom_site_type_symbol
_atom_site_fract_x
_atom_site_fract_y
_atom_site_fract_z
_atom_site_occupancy
Hf1 Hf 0.175 0.325 0.000 1
Zn1 Zn 0.000 0.000 0.500 1
Mo1 Mo 0.128 0.628 0.500 1
```

Summary:
ρ = 10.8 g/cm³


5.
The following is a GGA-PBE calculation of an optimized crystal structure of Hf2ZnMo, from the Alexandria database.

The structure in CIF format:
```
data_Hf2ZnMo
_space_group_name_H-M_alt 'P 4/m m m'
_space_group_IT_number 123
_space_group_name_Hall '-P 4 2'
_cell_length_a 4.588
_cell_length_b 4.588
_cell_length_c 3.457
_cell_angle_alpha 90.00
_cell_angle_beta 90.00
_cell_angle_gamma 90.00
loop_
_atom_site_label
_atom_site_type_symbol
_atom_site_fract_x
_atom_site_fract_y
_atom_site_fract_z
_atom_site_occupancy
Hf1 Hf 0.000 0.500 0.000 1
Zn1 Zn 0.000 0.000 0.500 1
Mo1 Mo 0.500 0.500 0.500 1
```

Summary:
ρ = 11.8 g/cm³


6.
The following is a GGA-PBE calculation of an optimized crystal structure of Hf2ZnMo, from the Alexandria database.

The structure in CIF format:
```
data_Hf2ZnMo
_space_group_name_H-M_alt 'R -3 m'
_space_group_IT_number 166
_space_group_name_Hall '-R 3 2"'
_cell_length_a 3.2458
_cell_length_b 3.2458
_cell_length_c 25.5438
_cell_angle_alpha 90.00
_cell_angle_beta 90.00
_cell_angle_gamma 120.00
loop_
_atom_site_label
_atom_site_type_symbol
_atom_site_fract_x
_atom_site_fract_y
_atom_site_fract_z
_atom_site_occupancy
Hf1 Hf 0.0000 0.0000 0.2465 1
Zn1 Zn 0.0000 0.0000 0.0000 1
Mo1 Mo 0.0000 0.0000 0.5000 1
```

Summary:
ρ = 11.1 g/cm³


What did we get for electronic total energy? Answer: -107.0; -158.9; -126.5; -84.3; -32.6; -95.4 eV for the cell shown, in the order shown.